The following is a PBE-GGA calculation of crystalline Ac4Pd3Pb at its relaxed geometry, from Alexandria via LeMat-Bulk.

Summary:
D(E_F) (states/eV/cell): 5.88
Formation enthalpy at 0 K (eV per atom): -0.692
Theoretical density (g/cm3): 9.68
E_tot (eV per formula unit): -41.3
Total magnetic moment (μB/f.u.): 0.0

Lattice parameters (Å, degrees): 4.358 4.783 11.801 90.00 90.00 90.00
Space group Pmm2 (No. 25)
Inequivalent atoms, fractional coordinates:
Ac  0.000  0.000  0.000 [1 per cell]
Ac  0.000  0.500  0.256 [1 per cell]
Ac  0.500  0.000  0.471 [1 per cell]
Ac  0.500  0.500  0.771 [1 per cell]
Pd  0.000  0.500  0.527 [1 per cell]
Pd  0.500  0.000  0.205 [1 per cell]
Pd  0.500  0.500  0.043 [1 per cell]
Pb  0.000  0.000  0.697 [1 per cell]